This record from Alexandria describes TaReTcW after structural relaxation. The functional is PBE.

Lattice parameters (Å, degrees): 4.4799 4.4799 4.4799 60.00 60.00 60.00
Positions (direct):
Ta  0.0000  0.0000  0.0000
Re  0.2500  0.2500  0.2500
Tc  0.7500  0.7500  0.7500
W  0.5000  0.5000  0.5000

- crystal system = cubic
- calculated volume (Å³ per atom) = 15.9
- DFT formation energy (eV/atom) = -0.19
- ΔE to the lowest computed polymorph (kcal/mol of atoms) = 0.15